Entry 1:
Here is TaOsO3 after structural relaxation from Alexandria via LeMat-Bulk. Energies are from PBE-GGA.

Structure (extended XYZ):
```
5
Lattice="3.9738 0.0000 0.0000 0.0000 3.9738 0.0000 0.0000 0.0000 3.9738" Properties=species:S:1:pos:R:3 pbc="T T T"
Ta 0.0000 0.0000 0.0000
Os 1.9869 1.9869 1.9869
O 0.0000 0.0000 1.9869
O 0.0000 1.9869 0.0000
O 1.9869 0.0000 0.0000
```

- Space group: Pm-3m, No. 221
- Formation energy without anion corrections: -0.72 eV per atom

***

Entry 2:
Here is Tb7Sm3Sc2 after structural relaxation from Alexandria via LeMat-Bulk. Energies are from PBE-GGA.

Structure (extended XYZ):
```
12
Lattice="3.2266 1.8629 11.0472 -3.2266 1.8629 11.0472 0.0000 -3.7258 11.0472" Properties=species:S:1:pos:R:3 pbc="T T T"
Tb 0.0000 0.0000 0.0000
Tb 0.0000 -1.8573 8.2272
Tb -1.6084 0.9286 8.2272
Tb -1.6084 -0.9286 24.9144
Tb 1.6084 0.9286 8.2272
Tb 1.6084 -0.9286 24.9144
Tb 0.0000 1.8573 24.9144
Sm 0.0000 0.0000 11.4478
Sm 0.0000 0.0000 16.5708
Sm 0.0000 0.0000 21.6938
Sc 0.0000 0.0000 5.5256
Sc 0.0000 0.0000 27.6160
```

- Space group: R-3m, No. 166
- E_form: 345 kJ/mol of formula units
- Offset from the most stable computed form: 194 meV/atom

***

Entry 3:
Here is CaLa7Y12 after structural relaxation from Alexandria via LeMat-Bulk. Energies are from PBE-GGA.

Structure (extended XYZ):
```
20
Lattice="-5.7186 5.7186 5.7186 5.7186 -5.7186 5.7186 5.7186 5.7186 -5.7186" Properties=species:S:1:pos:R:3 pbc="T T T"
Ca 0.0000 0.0000 0.0000
La 2.8593 2.8593 -2.8593
La 2.8593 -2.8593 2.8593
La 5.7186 0.0000 0.0000
La -2.8593 2.8593 2.8593
La 0.0000 5.7186 0.0000
La 0.0000 0.0000 5.7186
La 2.8593 2.8593 2.8593
Y 5.7186 2.8351 -2.8351
Y 5.7186 -2.8351 2.8351
Y 2.8351 5.7186 -2.8351
Y 2.8835 2.8835 0.0000
Y 2.8835 0.0000 2.8835
Y 2.8351 -2.8351 5.7186
Y 5.7186 2.8351 2.8351
Y 0.0000 2.8835 2.8835
Y -2.8351 5.7186 2.8351
Y -2.8351 2.8351 5.7186
Y 2.8351 5.7186 2.8351
Y 2.8351 2.8351 5.7186
```

- Space group: Im-3m, No. 229
- E_form: 1115 kJ/mol of formula units

***

Entry 4:
Here is Pr12Al5Ge3 after structural relaxation from Alexandria via LeMat-Bulk. Energies are from PBE-GGA.

Structure (extended XYZ):
```
80
Lattice="-8.8938 8.8938 8.8938 8.8938 -8.8938 8.8938 8.8938 8.8938 -8.8938" Properties=species:S:1:pos:R:3 pbc="T T T"
Pr 2.6846 -0.2795 1.3252
Pr 10.6561 5.7721 -4.7264
Pr 8.6143 -1.3252 2.6846
Pr 13.6202 -1.7623 3.1217
Pr 11.5785 0.2795 1.3252
Pr 10.6561 -3.1217 4.7264
Pr 1.3252 2.6846 -0.2795
Pr 12.0156 4.1674 -1.7623
Pr 5.7721 4.7264 -1.7623
Pr 7.5686 2.6846 0.2795
Pr -0.2795 1.3252 2.6846
Pr 4.7264 -1.7623 5.7721
Pr 8.6143 7.5686 -2.6846
Pr 4.7264 1.7623 3.1217
Pr 7.5686 -2.6846 8.6143
Pr 5.7721 -4.7264 10.6561
Pr 3.1217 4.7264 1.7623
Pr 10.2190 6.2092 0.2795
Pr 2.6846 8.6143 -1.3252
Pr 10.6561 3.1217 4.1674
Pr 4.7264 10.6561 -3.1217
Pr 8.6143 1.3252 6.2092
Pr 1.7623 3.1217 4.7264
Pr 2.6846 0.2795 7.5686
Pr 6.2092 8.6143 1.3252
Pr 7.1316 5.7721 4.1674
Pr 0.2795 7.5686 2.6846
Pr 4.1674 -1.7623 12.0156
Pr -1.7623 5.7721 4.7264
Pr 6.2092 0.2795 10.2190
Pr -1.3252 2.6846 8.6143
Pr 5.7721 4.1674 7.1316
Pr 3.1217 13.6202 -1.7623
Pr 1.3252 11.5785 0.2795
Pr 4.1674 7.1316 5.7721
Pr 0.2795 1.3252 11.5785
Pr 4.1674 10.6561 3.1217
Pr 9.1733 7.5686 6.2092
Pr 1.3252 6.2092 8.6143
Pr 3.1217 4.1674 10.6561
Pr -3.1217 4.7264 10.6561
Pr 7.5686 6.2092 9.1733
Pr -1.7623 12.0156 4.1674
Pr -2.6846 8.6143 7.5686
Pr -4.7264 10.6561 5.7721
Pr 0.2795 10.2190 6.2092
Pr -1.7623 3.1217 13.6202
Pr 6.2092 9.1733 7.5686
Al 0.0000 0.0000 0.0000
Al 4.4469 4.4469 -4.4469
Al 4.4469 -4.4469 4.4469
Al 8.8938 0.0000 0.0000
Al 13.3407 2.2235 0.0000
Al 8.8938 -4.4469 6.6704
Al 6.6704 8.8938 -4.4469
Al 6.6704 0.0000 4.4469
Al 4.4469 6.6704 0.0000
Al 8.8938 4.4469 2.2235
Al -4.4469 4.4469 4.4469
Al 0.0000 8.8938 0.0000
Al 0.0000 0.0000 8.8938
Al 4.4469 4.4469 4.4469
Al 0.0000 4.4469 6.6704
Al 4.4469 2.2235 8.8938
Al 2.2235 8.8938 4.4469
Al 2.2235 0.0000 13.3407
Al 0.0000 13.3407 2.2235
Al -4.4469 6.6704 8.8938
Ge 4.4469 2.2235 0.0000
Ge 8.8938 4.4469 -2.2235
Ge 2.2235 0.0000 4.4469
Ge 11.1173 0.0000 4.4469
Ge 0.0000 4.4469 2.2235
Ge 4.4469 -2.2235 8.8938
Ge 4.4469 11.1173 0.0000
Ge 8.8938 4.4469 6.6704
Ge -2.2235 8.8938 4.4469
Ge 6.6704 8.8938 4.4469
Ge 0.0000 4.4469 11.1173
Ge 4.4469 6.6704 8.8938
```

- Space group: Ia-3d, No. 230
- E_form: 183 kJ/mol of formula units

***

Entry 5:
Here is SrLi2OsO4 after structural relaxation from Alexandria via LeMat-Bulk. Energies are from PBE-GGA.

Structure (extended XYZ):
```
16
Lattice="5.5199 0.0000 0.0000 0.0000 5.5199 0.0000 0.0000 0.0000 6.6699" Properties=species:S:1:pos:R:3 pbc="T T T"
Sr 0.0000 0.0000 0.0000
Sr 2.7600 2.7600 3.3350
Li 0.0000 2.7600 1.6675
Li 0.0000 2.7600 5.0024
Li 2.7600 0.0000 1.6675
Li 2.7600 0.0000 5.0024
Os 0.0000 0.0000 3.3350
Os 2.7600 2.7600 0.0000
O 1.1595 1.1595 4.3732
O 1.1595 4.3604 2.2967
O 1.6005 1.6005 1.0383
O 1.6005 3.9194 5.6316
O 3.9194 1.6005 5.6316
O 3.9194 3.9194 1.0383
O 4.3604 1.1595 2.2967
O 4.3604 4.3604 4.3732
```

- Space group: I-42m, No. 121
- Formation energy without anion corrections: -1.55 eV per atom

***

Entry 6:
Here is AlTe2Pt after structural relaxation from Alexandria via LeMat-Bulk. Energies are from PBE-GGA.

Structure (extended XYZ):
```
4
Lattice="3.9274 0.0000 0.0000 0.0000 3.9268 0.0000 -0.0109 0.0000 6.8089" Properties=species:S:1:pos:R:3 pbc="T T T"
Al 0.0000 0.0000 0.0000
Te 1.9594 0.0000 4.8821
Te 3.9083 1.9634 1.9270
Pt 1.9402 1.9634 0.0001
```

- Space group: Pm, No. 6
- Formation energy without anion corrections: -0.35 eV per atom

***

Entry 7:
Here is HIrPb2 after structural relaxation from Alexandria via LeMat-Bulk. Energies are from PBE-GGA.

Structure (extended XYZ):
```
16
Lattice="6.7036 0.0000 0.0000 0.0000 6.7036 0.0000 0.0000 0.0000 6.7036" Properties=species:S:1:pos:R:3 pbc="T T T"
H 0.0000 0.0000 0.0000
H 0.0000 3.3518 3.3518
H 3.3518 0.0000 3.3518
H 3.3518 3.3518 0.0000
Ir 0.0000 0.0000 3.3518
Ir 0.0000 3.3518 0.0000
Ir 3.3518 0.0000 0.0000
Ir 3.3518 3.3518 3.3518
Pb 1.6759 1.6759 1.6759
Pb 1.6759 1.6759 5.0277
Pb 1.6759 5.0277 1.6759
Pb 1.6759 5.0277 5.0277
Pb 5.0277 1.6759 1.6759
Pb 5.0277 1.6759 5.0277
Pb 5.0277 5.0277 1.6759
Pb 5.0277 5.0277 5.0277
```

- Space group: Fm-3m, No. 225
- Offset from the most stable computed form: 0 meV/atom

***

Entry 8:
Here is PmAlH5 after structural relaxation from Alexandria via LeMat-Bulk. Energies are from PBE-GGA.

Structure (extended XYZ):
```
14
Lattice="3.7183 -2.3961 0.0000 3.7183 2.3961 0.0000 -3.4246 0.0000 7.4750" Properties=species:S:1:pos:R:3 pbc="T T T"
Pm 1.1498 2.1127 5.6063
Pm 2.8621 -2.1127 1.8688
Al 3.7183 0.0000 0.0000
Al 2.0060 0.0000 3.7375
H 1.2655 1.5123 3.3647
H -0.7693 0.8676 6.4267
H 4.4588 1.5123 0.3728
H 2.8621 0.1789 1.8688
H 0.9430 -0.8676 2.6892
H 3.0690 0.8676 4.7858
H 1.1498 -0.1789 5.6063
H -0.4468 -1.5123 7.1022
H 4.7813 -0.8676 1.0483
H 2.7464 -1.5123 4.1103
```

- Space group: C2/c, No. 15
- Calculated total energy: -3.795 eV per atom

***

Number 1: calculated volume 12.55 A^3/atom. Number 2: calculated volume 33.20 A^3/atom. Number 3: calculated volume 37.40 A^3/atom. Number 4: calculated volume 35.17 A^3/atom. Number 5: calculated volume 12.70 A^3/atom. Number 6: calculated volume 26.25 A^3/atom. Number 7: calculated volume 18.83 A^3/atom. Number 8: calculated volume 9.51 A^3/atom.